Density functional theory data (GGA-PBE) for a relaxed PrHo2Pd9 crystal.

Calculated values
- Fermi-level density of states (states/eV per atom) = 0.751
- raw total energy (eV for the cell shown) = -70.69
- calculated formation energy (kJ/mol of formula units) = -966
- SG = No. 123
- total magnetization (μB/f.u.) = 0.0

Structure (POSCAR):
```
PrHo2Pd9
1.0
4.158 0.000 0.000
0.000 4.158 0.000
0.000 0.000 12.404
Pr Ho Pd
1 2 9
Direct
0.000 0.000 0.000
0.000 0.000 0.337
0.000 0.000 0.663
0.000 0.500 0.173
0.000 0.500 0.500
0.000 0.500 0.827
0.500 0.000 0.173
0.500 0.000 0.500
0.500 0.000 0.827
0.500 0.500 0.000
0.500 0.500 0.335
0.500 0.500 0.665
```